[1]
Here is a relaxed structure of SrCdHgGe from Alexandria via LeMat-Bulk. Energies are from PBE.

Cell lengths 5.252, 5.252, 5.252 Å; angles 60.00, 60.00, 60.00 degrees
Fractional positions:
1 Sr 0.000 0.000 0.000
2 Cd 0.500 0.500 0.500
3 Hg 0.750 0.750 0.750
4 Ge 0.250 0.250 0.250

Summary:
The crystal system is cubic. The space group is No. 216. For the total moment, the calculation gives 0.00 μB per formula unit.

=====

[2]
Here is a relaxed structure of Pm2Nd9Tm from Alexandria via LeMat-Bulk. Energies are from PBE.

Cell lengths 5.175, 5.175, 15.513 Å; angles 90.00, 90.00, 90.00 degrees
Fractional positions:
1 Pm 0.000 0.000 0.168
2 Pm 0.000 0.000 0.832
3 Nd 0.000 0.500 0.000
4 Nd 0.000 0.500 0.335
5 Nd 0.000 0.500 0.665
6 Nd 0.500 0.000 0.000
7 Nd 0.500 0.000 0.335
8 Nd 0.500 0.000 0.665
9 Nd 0.500 0.500 0.168
10 Nd 0.500 0.500 0.500
11 Nd 0.500 0.500 0.832
12 Tm 0.000 0.000 0.500

Summary:
The crystal system is tetragonal. The space group is No. 123. For the total moment, the calculation gives 0.00 μB per formula unit.

=====

| no. | formation energy from the elements (eV per formula unit) |
| --- | --- |
| 1 | -1.155 |
| 2 | 0.181 |